## CaNdEr2S4 (PBE-GGA)

Data for CaNdEr2S4 after structural relaxation.

Output
Formation energy from raw total energies   -2.01 eV per atom
Density of states at the Fermi level   2.69 states/eV per cell
Uncorrected energy   -6.0616 eV per atom
Total moment   0.0 μB/f.u.

abc: 6.856 3.928 6.865
angles: 90.00 109.07 90.00
Space group P2/m (No. 10)
Inequivalent atoms, fractional coordinates:
Ca 0.000 0.000 0.000 x1
Nd 0.000 0.500 0.500 x1
Er 0.500 0.000 0.500 x1
Er 0.500 0.500 0.000 x1
S 0.262 0.500 0.250 x2
S 0.264 0.000 0.760 x2

---

## Ca2NdErS4 (PBE-GGA)

Data for Ca2NdErS4 after structural relaxation.

Output
Formation energy from raw total energies   -2.04 eV per atom
Density of states at the Fermi level   3.30 states/eV per cell
Uncorrected energy   -5.7717 eV per atom
Total moment   0.0 μB/f.u.

abc: 6.890 3.969 6.986
angles: 90.00 109.09 90.00
Space group P2/m (No. 10)
Inequivalent atoms, fractional coordinates:
Ca 0.000 0.000 0.000 x1
Ca 0.500 0.500 0.000 x1
Nd 0.000 0.500 0.500 x1
Er 0.500 0.000 0.500 x1
S 0.260 0.000 0.752 x2
S 0.260 0.500 0.255 x2

---

## CaNdEr2Sb4 (PBE-GGA)

Data for CaNdEr2Sb4 after structural relaxation.

Output
Formation energy from raw total energies   -1.03 eV per atom
Density of states at the Fermi level   3.63 states/eV per cell
Uncorrected energy   -5.0782 eV per atom
Total moment   0.0 μB/f.u.

abc: 7.682 4.416 7.740
angles: 90.00 109.14 90.00
Space group P2/m (No. 10)
Inequivalent atoms, fractional coordinates:
Ca 0.000 0.000 0.000 x1
Nd 0.500 0.500 0.000 x1
Er 0.000 0.500 0.500 x1
Er 0.500 0.000 0.500 x1
Sb 0.246 0.000 0.738 x2
Sb 0.255 0.500 0.263 x2

---

## CaNdErSc (PBE-GGA)

Data for CaNdErSc after structural relaxation.

Output
Density of states at the Fermi level   25.32 states/eV per cell
Uncorrected energy   -4.2605 eV per atom
Total moment   0.0 μB/f.u.

abc: 7.987 7.987 7.987
angles: 90.00 90.00 90.00
Space group F-43m (No. 216)
Inequivalent atoms, fractional coordinates:
Ca 0.000 0.000 0.000 x4
Nd 0.250 0.250 0.250 x4
Er 0.250 0.250 0.750 x4
Sc 0.000 0.000 0.500 x4

---

## CaNdEr4Se8 (PBE-GGA)

Data for CaNdEr4Se8 after structural relaxation.

Output
Formation energy from raw total energies   -1.78 eV per atom
Density of states at the Fermi level   11.96 states/eV per cell
Uncorrected energy   -5.5625 eV per atom
Total moment   0.0 μB/f.u.

abc: 8.4162 8.4162 20.8998
angles: 90.00 90.00 120.00
Space group R3m (No. 160, hexagonal axes)
Inequivalent atoms, fractional coordinates:
Ca 0.0000 0.0000 0.0000 x3
Nd 0.0000 0.0000 0.3715 x3
Er 0.0000 0.0000 0.7476 x3
Er 0.0054 0.5027 0.8742 x9
Se 0.0000 0.0000 0.1344 x3
Se 0.0000 0.0000 0.6152 x3
Se 0.0135 0.5067 0.1293 x9
Se 0.1771 0.3541 0.9496 x9

---

## CaNdEr2Se4 (PBE-GGA)

Data for CaNdEr2Se4 after structural relaxation.

Output
Formation energy from raw total energies   -1.81 eV per atom
Density of states at the Fermi level   3.04 states/eV per cell
Uncorrected energy   -5.5342 eV per atom
Total moment   0.0 μB/f.u.

abc: 7.145 4.095 7.167
angles: 90.00 109.04 90.00
Space group P2/m (No. 10)
Inequivalent atoms, fractional coordinates:
Ca 0.000 0.000 0.000 x1
Nd 0.000 0.500 0.500 x1
Er 0.500 0.000 0.500 x1
Er 0.500 0.500 0.000 x1
Se 0.261 0.500 0.249 x2
Se 0.263 0.000 0.760 x2

---

## Ca3NdEr2Se6 (PBE-GGA)

Data for Ca3NdEr2Se6 after structural relaxation.

Output
Formation energy from raw total energies   -1.87 eV per atom
Density of states at the Fermi level   8.88 states/eV per cell
Uncorrected energy   -5.2672 eV per atom
Total moment   0.0 μB/f.u.

abc: 7.153 12.371 7.250
angles: 90.00 109.26 90.00
Space group C2/m (No. 12)
Inequivalent atoms, fractional coordinates:
Ca 0.000 0.000 0.000 x2
Ca 0.000 0.337 0.000 x4
Nd 0.000 0.500 0.500 x2
Er 0.000 0.168 0.500 x4
Se 0.238 0.000 0.746 x4
Se 0.245 0.172 0.253 x8

---

## CaNd6SmEr2 (PBE-GGA)

Data for CaNd6SmEr2 after structural relaxation.

Output
Density of states at the Fermi level   61.03 states/eV per cell
Uncorrected energy   -4.3123 eV per atom
Total moment   0.0 μB/f.u.

abc: 9.255 15.478 9.894
angles: 90.00 98.29 90.00
Space group C2/c (No. 15)
Inequivalent atoms, fractional coordinates:
Ca 0.000 0.098 0.250 x4
Nd 0.063 0.325 0.448 x8
Nd 0.102 0.107 0.622 x8
Nd 0.204 0.270 0.823 x8
Sm 0.000 0.472 0.750 x4
Er 0.248 0.450 0.045 x8

---

## CaNd3Sm6Er2 (PBE-GGA)

Data for CaNd3Sm6Er2 after structural relaxation.

Output
Density of states at the Fermi level   34.56 states/eV per cell
Uncorrected energy   -4.4338 eV per atom
Total moment   0.0 μB/f.u.

abc: 6.320 10.949 11.993
angles: 90.00 100.07 90.00
Space group C2/m (No. 12)
Inequivalent atoms, fractional coordinates:
Ca 0.000 0.000 0.000 x2
Nd 0.000 0.166 0.500 x4
Nd 0.000 0.500 0.500 x2
Sm 0.243 0.500 0.249 x4
Sm 0.246 0.330 0.752 x8
Er 0.000 0.333 0.000 x4

---

## SrCaNdEr (PBE-GGA)

Data for SrCaNdEr after structural relaxation.

Output
Density of states at the Fermi level   22.33 states/eV per cell
Uncorrected energy   -3.0713 eV per atom
Total moment   0.0 μB/f.u.

abc: 8.502 8.502 8.502
angles: 90.00 90.00 90.00
Space group F-43m (No. 216)
Inequivalent atoms, fractional coordinates:
Sr 0.000 0.000 0.000 x4
Ca 0.250 0.250 0.250 x4
Nd 0.000 0.000 0.500 x4
Er 0.250 0.250 0.750 x4

---

## CaTb2Nd6Er (PBE-GGA)

Data for CaTb2Nd6Er after structural relaxation.

Output
Density of states at the Fermi level   60.70 states/eV per cell
Uncorrected energy   -4.3112 eV per atom
Total moment   0.0 μB/f.u.

abc: 9.209 15.526 9.919
angles: 90.00 98.95 90.00
Space group C2/c (No. 15)
Inequivalent atoms, fractional coordinates:
Ca 0.000 0.099 0.250 x4
Tb 0.247 0.451 0.043 x8
Nd 0.060 0.325 0.448 x8
Nd 0.107 0.105 0.624 x8
Nd 0.200 0.271 0.823 x8
Er 0.000 0.475 0.750 x4

---

## CaTbNd6Er2 (PBE-GGA)

Data for CaTbNd6Er2 after structural relaxation.

Output
Density of states at the Fermi level   61.02 states/eV per cell
Uncorrected energy   -4.3022 eV per atom
Total moment   0.0 μB/f.u.

abc: 9.223 15.474 9.891
angles: 90.00 98.66 90.00
Space group C2/c (No. 15)
Inequivalent atoms, fractional coordinates:
Ca 0.000 0.099 0.250 x4
Tb 0.000 0.473 0.750 x4
Nd 0.062 0.325 0.448 x8
Nd 0.104 0.105 0.623 x8
Nd 0.203 0.270 0.823 x8
Er 0.247 0.450 0.044 x8

---

## CaNd2Er3Te6 (PBE-GGA)

Data for CaNd2Er3Te6 after structural relaxation.

Output
Formation energy from raw total energies   -1.36 eV per atom
Density of states at the Fermi level   11.68 states/eV per cell
Uncorrected energy   -5.0348 eV per atom
Total moment   0.0 μB/f.u.

abc: 19.305 4.381 8.872
angles: 90.00 103.91 90.00
Space group C2/m (No. 12)
Inequivalent atoms, fractional coordinates:
Ca 0.000 0.000 0.000 x2
Nd 0.173 0.500 0.345 x4
Er 0.000 0.000 0.500 x2
Er 0.170 0.500 0.829 x4
Te 0.002 0.500 0.747 x4
Te 0.160 0.000 0.591 x4
Te 0.167 0.000 0.073 x4

---

## Ca3Nd2ErTe6 (PBE-GGA)

Data for Ca3Nd2ErTe6 after structural relaxation.

Output
Formation energy from raw total energies   -1.48 eV per atom
Density of states at the Fermi level   10.24 states/eV per cell
Uncorrected energy   -4.7288 eV per atom
Total moment   0.0 μB/f.u.

abc: 7.691 13.299 7.833
angles: 90.00 109.13 90.00
Space group C2/m (No. 12)
Inequivalent atoms, fractional coordinates:
Ca 0.000 0.000 0.000 x2
Ca 0.000 0.329 0.000 x4
Nd 0.000 0.165 0.500 x4
Er 0.000 0.500 0.500 x2
Te 0.239 0.500 0.248 x4
Te 0.245 0.338 0.750 x8

---

## Ca2NdErTe4 (PBE-GGA)

Data for Ca2NdErTe4 after structural relaxation.

Output
Formation energy from raw total energies   -1.46 eV per atom
Density of states at the Fermi level   3.66 states/eV per cell
Uncorrected energy   -4.7018 eV per atom
Total moment   0.0 μB/f.u.

abc: 7.665 4.417 7.810
angles: 90.00 109.05 90.00
Space group P2/m (No. 10)
Inequivalent atoms, fractional coordinates:
Ca 0.000 0.000 0.000 x1
Ca 0.500 0.500 0.000 x1
Nd 0.000 0.500 0.500 x1
Er 0.500 0.000 0.500 x1
Te 0.258 0.000 0.751 x2
Te 0.259 0.500 0.254 x2

---

## CaNdErTh (PBE-GGA)

Data for CaNdErTh after structural relaxation.

Output
Density of states at the Fermi level   33.88 states/eV per cell
Uncorrected energy   -4.4474 eV per atom
Total moment   0.4 μB/f.u.

abc: 8.169 8.169 8.169
angles: 90.00 90.00 90.00
Space group F-43m (No. 216)
Inequivalent atoms, fractional coordinates:
Ca 0.000 0.000 0.000 x4
Nd 0.250 0.250 0.750 x4
Er 0.250 0.250 0.250 x4
Th 0.000 0.000 0.500 x4

---

## CaNd2ErTl4 (PBE-GGA)

Data for CaNd2ErTl4 after structural relaxation.

Output
Density of states at the Fermi level   15.62 states/eV per cell
Uncorrected energy   -3.5706 eV per atom
Total moment   0.0 μB/f.u.

abc: 5.4637 5.4637 26.8625
angles: 90.00 90.00 120.00
Space group R-3m (No. 166, hexagonal axes)
Inequivalent atoms, fractional coordinates:
Ca 0.0000 0.0000 0.0000 x3
Nd 0.0000 0.0000 0.2538 x6
Er 0.0000 0.0000 0.5000 x3
Tl 0.0000 0.0000 0.1278 x6
Tl 0.0000 0.0000 0.3784 x6

---

## CaNdErTm (PBE-GGA)

Data for CaNdErTm after structural relaxation.

Output
Density of states at the Fermi level   25.02 states/eV per cell
Uncorrected energy   -3.8089 eV per atom
Total moment   0.0 μB/f.u.

abc: 8.135 8.135 8.135
angles: 90.00 90.00 90.00
Space group F-43m (No. 216)
Inequivalent atoms, fractional coordinates:
Ca 0.000 0.000 0.000 x4
Nd 0.250 0.250 0.250 x4
Er 0.250 0.250 0.750 x4
Tm 0.000 0.000 0.500 x4

---

## CaNdYEr (PBE-GGA)

Data for CaNdYEr after structural relaxation.

Output
Density of states at the Fermi level   26.38 states/eV per cell
Uncorrected energy   -4.3166 eV per atom
Total moment   0.0 μB/f.u.

abc: 8.187 8.187 8.187
angles: 90.00 90.00 90.00
Space group F-43m (No. 216)
Inequivalent atoms, fractional coordinates:
Ca 0.000 0.000 0.000 x4
Nd 0.250 0.250 0.250 x4
Y 0.250 0.250 0.750 x4
Er 0.000 0.000 0.500 x4

---

## CaNd3Y6Er2 (PBE-GGA)

Data for CaNd3Y6Er2 after structural relaxation.

Output
Density of states at the Fermi level   41.33 states/eV per cell
Uncorrected energy   -5.2966 eV per atom
Total moment   0.0 μB/f.u.

abc: 6.268 10.856 11.928
angles: 90.00 100.07 90.00
Space group C2/m (No. 12)
Inequivalent atoms, fractional coordinates:
Ca 0.000 0.000 0.000 x2
Nd 0.000 0.165 0.500 x4
Nd 0.000 0.500 0.500 x2
Y 0.245 0.500 0.249 x4
Y 0.247 0.330 0.751 x8
Er 0.000 0.333 0.000 x4

---

## CaNdErZn (PBE-GGA)

Data for CaNdErZn after structural relaxation.

Output
Density of states at the Fermi level   5.04 states/eV per cell
Uncorrected energy   -3.2802 eV per atom
Total moment   0.0 μB/f.u.

abc: 3.578 3.578 9.220
angles: 90.00 90.00 90.00
Space group P4mm (No. 99)
Inequivalent atoms, fractional coordinates:
Ca 0.000 0.000 0.000 x1
Nd 0.500 0.500 0.671 x1
Er 0.000 0.000 0.395 x1
Zn 0.500 0.500 0.214 x1

---

## CaErNi2 (PBE-GGA)

Data for CaErNi2 after structural relaxation.

Output
Density of states at the Fermi level   10.63 states/eV per cell
Uncorrected energy   -4.7239 eV per atom
Total moment   0.0 μB/f.u.
Offset from the most stable computed form   66.6 meV per atom

abc: 6.728 6.728 6.728
angles: 90.00 90.00 90.00
Space group Fm-3m (No. 225)
Inequivalent atoms, fractional coordinates:
Ca 0.000 0.000 0.000 x4
Er 0.000 0.000 0.500 x4
Ni 0.250 0.250 0.250 x8